VASP calculation (GGA-PBE) on crystalline Ag2Au2S at its relaxed geometry.

It has space group P4/mbm (No. 127), with a = 6.785 Å, b = 6.785 Å, c = 4.176 Å, α = 90.00°, β = 90.00° and γ = 90.00°. The distinct sites, in fractional coordinates, are Ag at (0.154, 0.346, 0.000), Au at (0.145, 0.645, 0.500) and S at (0.000, 0.000, 0.000).

The value obtained for the offset from the most stable computed form is 1.206 kcal/mol of atoms. The value obtained for the raw formation energy is 218.5 meV per atom.

=====

VASP calculation (GGA-PBE) on crystalline NbCu4S5 at its relaxed geometry.

It has space group I4 (No. 79), with a = 7.475 Å, b = 7.475 Å, c = 6.216 Å, α = 90.00°, β = 90.00° and γ = 90.00°. The distinct sites, in fractional coordinates, are Nb at (0.000, 0.000, 0.000), Cu at (0.161, 0.270, 0.487), S at (0.000, 0.000, 0.616) and S at (0.068, 0.296, 0.138).

The value obtained for the raw formation energy is -334.1 meV per atom.

=====

VASP calculation (GGA-PBE) on crystalline Hg2SbAs at its relaxed geometry.

It has space group Cm (No. 8), with a = 8.853 Å, b = 5.405 Å, c = 5.183 Å, α = 90.00°, β = 121.73° and γ = 90.00°. The distinct sites, in fractional coordinates, are Hg at (0.000, 0.000, 0.000), Hg at (0.226, 0.000, 0.774), Sb at (0.264, 0.500, 0.209) and As at (0.447, 0.000, 0.577).

The value obtained for the offset from the most stable computed form is 4.338 kcal/mol of atoms. The value obtained for the raw formation energy is 224.5 meV per atom.

=====

VASP calculation (GGA-PBE) on crystalline YScTlRh at its relaxed geometry.

It has space group P4mm (No. 99), with a = 3.430 Å, b = 3.430 Å, c = 7.459 Å, α = 90.00°, β = 90.00° and γ = 90.00°. The distinct sites, in fractional coordinates, are Y at (0.000, 0.000, 0.000), Sc at (0.000, 0.000, 0.570), Tl at (0.500, 0.500, 0.305) and Rh at (0.500, 0.500, 0.757).

The value obtained for the offset from the most stable computed form is 0.000 kcal/mol of atoms. As for the formation energy: -2.49 eV per formula unit.

=====

VASP calculation (GGA-PBE) on crystalline MgRu3Pb at its relaxed geometry.

It has space group Pm-3m (No. 221), with a = 4.555 Å, b = 4.555 Å, c = 4.555 Å, α = 90.00°, β = 90.00° and γ = 90.00°. The distinct sites, in fractional coordinates, are Mg at (0.000, 0.000, 0.000), Ru at (0.000, 0.000, 0.500) and Pb at (0.500, 0.500, 0.500).

The value obtained for the offset from the most stable computed form is 0.000 kcal/mol of atoms. As for the formation energy: 7.24 eV per formula unit.

=====

VASP calculation (GGA-PBE) on crystalline MgNiTe at its relaxed geometry.

It has space group P4/nmm (No. 129, origin choice 2), with a = 5.041 Å, b = 5.041 Å, c = 5.136 Å, α = 90.00°, β = 90.00° and γ = 90.00°. The distinct sites, in fractional coordinates, are Mg at (0.250, 0.250, 0.117), Ni at (0.250, 0.250, 0.629) and Te at (0.250, 0.750, 0.500).

The value obtained for the raw formation energy is -12.2 meV per atom.

=====

VASP calculation (GGA-PBE) on crystalline Nb2CuRh4 at its relaxed geometry.

It has space group I4/mmm (No. 139), with a = 3.542 Å, b = 3.542 Å, c = 17.980 Å, α = 90.00°, β = 90.00° and γ = 90.00°. The distinct sites, in fractional coordinates, are Nb at (0.000, 0.000, 0.083), Cu at (0.000, 0.000, 0.500), Rh at (0.000, 0.000, 0.361) and Rh at (0.000, 0.500, 0.250).

As for the formation energy: 0.37 eV per formula unit.

=====

VASP calculation (GGA-PBE) on crystalline SmDy2YAs4 at its relaxed geometry.

It has space group P2/m (No. 10), with a = 7.177 Å, b = 4.146 Å, c = 7.178 Å, α = 90.00°, β = 109.46° and γ = 90.00°. The distinct sites, in fractional coordinates, are Sm at (0.000, 0.000, 0.000), Dy at (0.000, 0.500, 0.500), Dy at (0.500, 0.000, 0.500), Y at (0.500, 0.500, 0.000), As at (0.251, 0.000, 0.748) and As at (0.254, 0.500, 0.254).

As for the formation energy: -12.30 eV per formula unit.